No. 1
The following is a PBE-GGA calculation of an optimized crystal structure of Ce6Bi2OsC, from the Alexandria database.

Geometry as POSCAR:
```
Ce6Bi2OsC
1.0
5.186 0.000 0.000
0.000 5.186 0.000
0.000 0.000 10.513
Ce Bi Os C
6 2 1 1
Direct
0.000 0.000 0.228
0.000 0.000 0.772
0.000 0.500 0.000
0.000 0.500 0.500
0.500 0.000 0.000
0.500 0.000 0.500
0.500 0.500 0.241
0.500 0.500 0.759
0.000 0.000 0.500
0.000 0.000 0.000
```

Results
Total magnetic moment in μB/f.u.: 4.60
Crystal system: tetragonal
Energy of formation from the pure elements in eV per formula unit: -3.49
SG: P4/mmm

***

No. 2
The following is a PBE-GGA calculation of an optimized crystal structure of RbTaS2O8, from the Alexandria database.

Geometry as POSCAR:
```
RbTaS2O8
1.0
5.275 0.000 0.000
-2.638 4.568 0.000
0.000 0.000 8.344
Rb Ta S O
1 1 2 8
Direct
0.000 0.000 0.000
0.000 0.000 0.500
0.333 0.667 0.280
0.667 0.333 0.720
0.179 0.359 0.341
0.179 0.821 0.341
0.333 0.667 0.106
0.359 0.179 0.659
0.641 0.821 0.341
0.667 0.333 0.894
0.821 0.179 0.659
0.821 0.641 0.659
```

Results
Total magnetic moment in μB/f.u.: 2.00
Crystal system: trigonal
Formation energy (no corrections) in meV per atom: -1577
SG: P-3m1

***

No. 3
The following is a PBE-GGA calculation of an optimized crystal structure of ReMo6W2, from the Alexandria database.

Geometry as POSCAR:
```
ReMo6W2
1.0
4.918 0.000 0.000
-0.006 5.040 0.000
-2.453 -1.449 6.005
Re Mo W
1 6 2
Direct
0.000 0.000 0.000
0.183 0.861 0.366
0.255 0.499 0.001
0.266 0.376 0.531
0.734 0.624 0.469
0.745 0.501 0.999
0.817 0.139 0.634
0.394 0.928 0.787
0.606 0.072 0.213
```

Results
Total magnetic moment in μB/f.u.: 0.00
Crystal system: triclinic
Energy of formation from the pure elements in eV per formula unit: 2.76
Energy relative to the lowest polymorph listed for this composition in meV per atom: 155.4
SG: P-1

***

No. 4
The following is a PBE-GGA calculation of an optimized crystal structure of Zr6BiAu, from the Alexandria database.

Geometry as POSCAR:
```
Zr6BiAu
1.0
0.000 3.688 6.635
3.679 0.000 6.635
3.679 3.688 0.000
Zr Bi Au
6 1 1
Direct
0.124 0.124 0.376
0.245 0.245 0.755
0.376 0.376 0.124
0.624 0.624 0.876
0.755 0.755 0.245
0.876 0.876 0.624
0.500 0.500 0.500
0.000 0.000 0.000
```

Results
Total magnetic moment in μB/f.u.: 0.00
Crystal system: orthorhombic
Energy of formation from the pure elements in eV per formula unit: -1.70
Energy relative to the lowest polymorph listed for this composition in meV per atom: 75.9
SG: Fmmm

***

No. 5
The following is a PBE-GGA calculation of an optimized crystal structure of CsRbHgPb, from the Alexandria database.

Geometry as POSCAR:
```
CsRbHgPb
1.0
0.000 4.297 4.297
4.297 0.000 4.297
4.297 4.297 0.000
Cs Rb Hg Pb
1 1 1 1
Direct
0.000 0.000 0.000
0.750 0.750 0.750
0.250 0.250 0.250
0.500 0.500 0.500
```

Results
Total magnetic moment in μB/f.u.: 0.00
Crystal system: cubic
Energy of formation from the pure elements in eV per formula unit: -0.27
Energy relative to the lowest polymorph listed for this composition in meV per atom: 95.7
SG: F-43m

***

No. 6
The following is a PBE-GGA calculation of an optimized crystal structure of ZnMoP2, from the Alexandria database.

Geometry as POSCAR:
```
ZnMoP2
1.0
1.625 -2.226 0.000
1.625 2.226 0.000
0.000 0.000 9.431
Zn Mo P
1 1 2
Direct
0.000 0.000 0.000
0.500 0.500 0.765
0.000 0.000 0.573
0.500 0.500 0.203
```

Results
Total magnetic moment in μB/f.u.: 0.00
Crystal system: orthorhombic
Energy of formation from the pure elements in eV per formula unit: 1.09
SG: Cmm2

***

No. 7
The following is a PBE-GGA calculation of an optimized crystal structure of LaNd2Rh, from the Alexandria database.

Geometry as POSCAR:
```
LaNd2Rh
1.0
1.915 1.105 10.726
-1.915 1.105 10.726
0.000 -2.211 10.726
La Nd Rh
1 2 1
Direct
0.000 0.000 0.000
0.113 0.113 0.113
0.887 0.887 0.887
0.500 0.500 0.500
```

Results
Total magnetic moment in μB/f.u.: 0.75
Crystal system: trigonal
Energy of formation from the pure elements in eV per formula unit: -0.55
Energy relative to the lowest polymorph listed for this composition in meV per atom: 301.1
SG: R-3m

***

No. 8
The following is a PBE-GGA calculation of an optimized crystal structure of K2PuTe4Au2, from the Alexandria database.

Geometry as POSCAR:
```
K2PuTe4Au2
1.0
8.047 -2.217 0.000
8.047 2.217 0.000
-2.798 0.000 8.062
K Pu Te Au
2 1 4 2
Direct
0.132 0.132 0.080
0.868 0.868 0.920
0.000 0.000 0.500
0.199 0.199 0.702
0.490 0.490 0.747
0.510 0.510 0.253
0.801 0.801 0.298
0.323 0.323 0.511
0.677 0.677 0.489
```

Results
Total magnetic moment in μB/f.u.: 4.27
Crystal system: monoclinic
Formation energy (no corrections) in meV per atom: -726
SG: C2/m

***

No. 9
The following is a PBE-GGA calculation of an optimized crystal structure of MnNbFe10, from the Alexandria database.

Geometry as POSCAR:
```
MnNbFe10
1.0
4.002 0.000 0.000
0.000 4.686 0.000
0.000 0.000 8.100
Mn Nb Fe
1 1 10
Direct
0.000 0.000 0.000
0.000 0.500 0.500
0.000 0.000 0.333
0.000 0.000 0.667
0.000 0.500 0.166
0.000 0.500 0.834
0.500 0.000 0.500
0.500 0.250 0.251
0.500 0.250 0.749
0.500 0.500 0.000
0.500 0.750 0.251
0.500 0.750 0.749
```

Results
Total magnetic moment in μB/f.u.: 20.94
Crystal system: orthorhombic
Energy of formation from the pure elements in eV per formula unit: 2.46
SG: Pmmm

***

No. 10
The following is a PBE-GGA calculation of an optimized crystal structure of LiTcTeI2, from the Alexandria database.

Geometry as POSCAR:
```
LiTcTeI2
1.0
5.312 0.000 0.000
0.000 5.312 0.000
0.000 0.000 5.371
Li Tc Te I
1 1 1 2
Direct
0.000 0.000 0.000
0.500 0.500 0.500
0.000 0.000 0.500
0.000 0.500 0.000
0.500 0.000 0.000
```

Results
Total magnetic moment in μB/f.u.: 4.38
Crystal system: tetragonal
Formation energy (no corrections) in meV per atom: 689
Energy relative to the lowest polymorph listed for this composition in meV per atom: 588.8
SG: P4/mmm

***

No. 11
The following is a PBE-GGA calculation of an optimized crystal structure of Na2YZrS4, from the Alexandria database.

Geometry as POSCAR:
```
Na2YZrS4
1.0
6.677 0.000 0.000
0.000 3.821 0.000
-2.200 0.000 6.747
Na Y Zr S
2 1 1 4
Direct
0.000 0.000 0.000
0.500 0.500 0.000
0.000 0.500 0.500
0.500 0.000 0.500
0.254 0.000 0.729
0.268 0.500 0.276
0.732 0.500 0.724
0.746 0.000 0.271
```

Results
Total magnetic moment in μB/f.u.: 0.00
Crystal system: monoclinic
Formation energy (no corrections) in meV per atom: -1640
SG: P2/m

***

No. 12
The following is a PBE-GGA calculation of an optimized crystal structure of Mn2SiW, from the Alexandria database.

Geometry as POSCAR:
```
Mn2SiW
1.0
-1.809 1.809 3.895
1.809 -1.809 3.895
1.809 1.809 -3.895
Mn Si W
2 1 1
Direct
0.000 0.000 0.000
0.750 0.250 0.500
0.250 0.750 0.500
0.500 0.500 0.000
```

Results
Total magnetic moment in μB/f.u.: 2.65
Crystal system: tetragonal
Formation energy (no corrections) in meV per atom: -89
SG: I-4m2

***

No. 13
The following is a PBE-GGA calculation of an optimized crystal structure of Ti6GaSi, from the Alexandria database.

Geometry as POSCAR:
```
Ti6GaSi
1.0
5.661 0.000 0.000
-2.830 4.902 0.000
0.000 0.000 4.590
Ti Ga Si
6 1 1
Direct
0.010 0.505 0.000
0.328 0.164 0.500
0.495 0.505 0.000
0.495 0.990 0.000
0.836 0.164 0.500
0.836 0.672 0.500
0.000 0.000 0.000
0.333 0.667 0.500
```

Results
Total magnetic moment in μB/f.u.: 0.00
Crystal system: hexagonal
Formation energy (no corrections) in meV per atom: -392
SG: P-6m2

***

No. 14
The following is a PBE-GGA calculation of an optimized crystal structure of CaAl2Ni, from the Alexandria database.

Geometry as POSCAR:
```
CaAl2Ni
1.0
-2.530 2.530 7.686
2.530 -2.530 7.686
2.530 2.530 -7.686
Ca Al Ni
2 4 2
Direct
0.375 0.625 0.750
0.625 0.375 0.250
0.000 0.000 0.000
0.000 0.000 0.500
0.000 0.500 0.000
0.500 0.000 0.500
0.125 0.875 0.250
0.875 0.125 0.750
```

Results
Total magnetic moment in μB/f.u.: 0.00
Crystal system: tetragonal
Energy of formation from the pure elements in eV per formula unit: -0.11
SG: I4_1/amd

***

No. 15
The following is a PBE-GGA calculation of an optimized crystal structure of MnSnAsPtI, from the Alexandria database.

Geometry as POSCAR:
```
MnSnAsPtI
1.0
3.542 0.000 0.000
0.000 3.805 0.000
0.000 0.000 8.706
Mn Sn As Pt I
1 1 1 1 1
Direct
0.000 0.000 0.000
0.000 0.500 0.409
0.500 0.500 0.069
0.500 0.000 0.260
0.500 0.000 0.746
```

Results
Total magnetic moment in μB/f.u.: 3.72
Crystal system: orthorhombic
Formation energy (no corrections) in meV per atom: -147
Energy relative to the lowest polymorph listed for this composition in meV per atom: 95.0
SG: Pmm2

***

No. 16
The following is a PBE-GGA calculation of an optimized crystal structure of Al2CoNi8, from the Alexandria database.

Geometry as POSCAR:
```
Al2CoNi8
1.0
-1.900 3.101 5.425
1.900 -3.101 5.425
1.900 3.101 -5.425
Al Co Ni
2 1 8
Direct
0.197 0.197 0.000
0.803 0.803 0.000
0.500 0.500 0.000
0.067 0.350 0.717
0.208 0.000 0.208
0.350 0.850 0.500
0.368 0.650 0.717
0.632 0.350 0.283
0.650 0.150 0.500
0.792 0.000 0.792
0.933 0.650 0.283
```

Results
Total magnetic moment in μB/f.u.: 4.01
Crystal system: orthorhombic
Energy of formation from the pure elements in eV per formula unit: -1.87
SG: Immm

***

No. 17
The following is a PBE-GGA calculation of an optimized crystal structure of DyMnSi2Ru, from the Alexandria database.

Geometry as POSCAR:
```
DyMnSi2Ru
1.0
-1.996 1.996 5.119
1.996 -1.996 5.119
1.996 1.996 -5.119
Dy Mn Si Ru
1 1 2 1
Direct
0.000 0.000 0.000
0.750 0.250 0.500
0.380 0.380 0.000
0.620 0.620 0.000
0.250 0.750 0.500
```

Results
Total magnetic moment in μB/f.u.: 2.68
Crystal system: tetragonal
Formation energy (no corrections) in meV per atom: -773
SG: I-4m2

***

No. 18
The following is a PBE-GGA calculation of an optimized crystal structure of Sr4Hg3Ge, from the Alexandria database.

Geometry as POSCAR:
```
Sr4Hg3Ge
1.0
-2.804 2.804 7.949
2.804 -2.804 7.949
2.804 2.804 -7.949
Sr Hg Ge
4 3 1
Direct
0.122 0.622 0.500
0.378 0.878 0.500
0.622 0.122 0.500
0.878 0.378 0.500
0.000 0.000 0.000
0.250 0.250 0.000
0.750 0.750 0.000
0.500 0.500 0.000
```

Results
Total magnetic moment in μB/f.u.: 0.00
Crystal system: tetragonal
Energy of formation from the pure elements in eV per formula unit: -4.32
SG: I4/mmm

***

No. 19
The following is a PBE-GGA calculation of an optimized crystal structure of Tl3Zn2PbF9, from the Alexandria database.

Geometry as POSCAR:
```
Tl3Zn2PbF9
1.0
6.134 0.000 0.000
-3.067 5.312 0.000
0.000 0.000 7.923
Tl Zn Pb F
3 2 1 9
Direct
0.000 0.000 0.000
0.333 0.667 0.714
0.667 0.333 0.286
0.333 0.667 0.155
0.667 0.333 0.845
0.000 0.000 0.500
0.000 0.500 0.000
0.175 0.350 0.299
0.175 0.825 0.299
0.350 0.175 0.701
0.500 0.000 0.000
0.500 0.500 0.000
0.650 0.825 0.299
0.825 0.175 0.701
0.825 0.650 0.701
```

Results
Total magnetic moment in μB/f.u.: 0.00
Crystal system: trigonal
Formation energy (no corrections) in meV per atom: -2109
SG: P-3m1

***

No. 20
The following is a PBE-GGA calculation of an optimized crystal structure of Cs3CuCl, from the Alexandria database.

Geometry as POSCAR:
```
Cs3CuCl
1.0
6.690 0.000 0.000
0.000 6.690 0.000
0.000 0.000 6.690
Cs Cu Cl
3 1 1
Direct
0.000 0.000 0.500
0.000 0.500 0.000
0.500 0.000 0.000
0.500 0.500 0.500
0.000 0.000 0.000
```

Results
Total magnetic moment in μB/f.u.: 0.00
Crystal system: cubic
Formation energy (no corrections) in meV per atom: -469
Energy relative to the lowest polymorph listed for this composition in meV per atom: 0.0
SG: Pm-3m